Compound: Th3CoBiRu
Source: the Alexandria database
Functional: PBE-GGA
Structure: optimized geometry

```
Th3CoBiRu
1.0
8.502 0.000 0.000
0.000 4.290 0.000
-3.918 0.000 8.819
Th Co Bi Ru
6 2 2 2
direct
0.154 0.250 0.148
0.217 0.750 0.475
0.299 0.750 0.875
0.701 0.250 0.125
0.783 0.250 0.525
0.846 0.750 0.852
0.017 0.750 0.617
0.983 0.250 0.383
0.494 0.750 0.279
0.506 0.250 0.721
0.071 0.250 0.837
0.929 0.750 0.163
```

## Properties
- ΔE_f (eV per formula unit) = -2.3
- space group = P2_1/m (11)
- total magnetic moment (μB/f.u.) = 0.0

=====

Compound: MgCd3Ge
Source: the Alexandria database
Functional: PBE-GGA
Structure: optimized geometry

```
MgCd3Ge
1.0
5.232 0.000 0.000
0.000 5.232 0.000
0.000 0.000 5.232
Mg Cd Ge
1 3 1
direct
0.000 0.000 0.000
0.000 0.000 0.500
0.000 0.500 0.000
0.500 0.000 0.000
0.500 0.500 0.500
```

## Properties
- ΔE_f (eV per formula unit) = 3.2
- space group = Pm-3m (221)
- total magnetic moment (μB/f.u.) = 0.0

=====

Compound: Ac2TcRuO8
Source: the Alexandria database
Functional: PBE-GGA
Structure: optimized geometry

```
Ac2TcRuO8
1.0
5.337 0.000 0.000
1.543 5.979 0.000
2.165 0.925 5.760
Ac Tc Ru O
2 1 1 8
direct
0.119 0.184 0.161
0.881 0.816 0.839
0.500 0.500 0.500
0.500 0.000 0.500
0.267 0.476 0.807
0.270 0.811 0.439
0.291 0.967 0.831
0.292 0.323 0.425
0.708 0.677 0.575
0.709 0.033 0.169
0.730 0.189 0.561
0.733 0.524 0.193
```

## Properties
- energy relative to the elements, uncorrected (meV per atom) = -2098
- space group = P-1 (2)
- total magnetic moment (μB/f.u.) = 3.1

=====

Compound: ZrCu2Ir
Source: the Alexandria database
Functional: PBE-GGA
Structure: optimized geometry

```
ZrCu2Ir
1.0
-1.921 1.921 4.066
1.921 -1.921 4.066
1.921 1.921 -4.066
Zr Cu Ir
1 2 1
direct
0.000 0.000 0.000
0.250 0.750 0.500
0.750 0.250 0.500
0.500 0.500 0.000
```

## Properties
- ΔE_f (eV per formula unit) = -1.6
- space group = I4/mmm (139)
- total magnetic moment (μB/f.u.) = 0.0

=====

Compound: Pr8TlOs2
Source: the Alexandria database
Functional: PBE-GGA
Structure: optimized geometry

```
Pr8TlOs2
1.0
4.565 -6.816 0.000
4.565 6.816 0.000
-1.270 0.000 5.548
Pr Tl Os
8 1 2
direct
0.000 0.000 0.000
0.059 0.320 0.634
0.132 0.635 0.203
0.320 0.059 0.634
0.449 0.709 0.771
0.635 0.132 0.203
0.709 0.449 0.771
0.773 0.773 0.408
0.387 0.387 0.202
0.073 0.697 0.704
0.697 0.073 0.704
```

## Properties
- ΔE_f (eV per formula unit) = -0.6
- space group = Cm (8)
- total magnetic moment (μB/f.u.) = 0.0

=====

Compound: K2Nb3RuO12
Source: the Alexandria database
Functional: PBE-GGA
Structure: optimized geometry

```
K2Nb3RuO12
1.0
3.742 2.161 6.029
-3.742 2.161 6.029
0.000 -4.321 6.029
K Nb Ru O
2 3 1 12
direct
0.109 0.109 0.109
0.891 0.891 0.891
0.000 0.500 0.500
0.500 0.000 0.500
0.500 0.500 0.000
0.500 0.500 0.500
0.185 0.185 0.564
0.185 0.564 0.185
0.201 0.559 0.559
0.436 0.815 0.815
0.441 0.441 0.799
0.441 0.799 0.441
0.559 0.201 0.559
0.559 0.559 0.201
0.564 0.185 0.185
0.799 0.441 0.441
0.815 0.436 0.815
0.815 0.815 0.436
```

## Properties
- energy relative to the elements, uncorrected (meV per atom) = -1968
- space group = R-3m (166)
- total magnetic moment (μB/f.u.) = 1.1

=====

Which of these has the highest total magnetic moment?
Ac2TcRuO8

=====

Which formula does entry 2 have?
MgCd3Ge